No. 1
Compound: ZnGePb
Source: the Open Quantum Materials Database
Functional: GGA-PBE
Structure: relaxed

## Properties
V: 25.25 A^3/atom
SG: F-43m, No. 216
Total DFT energy (no corrections): -2.955 eV per atom

a = 6.716 Å, b = 6.716 Å, c = 6.716 Å
α = 90.00°, β = 90.00°, γ = 90.00°
Element x y z (fractional)
Zn  0.000  0.000  0.000
Zn  0.000  0.500  0.500
Zn  0.500  0.000  0.500
Zn  0.500  0.500  0.000
Ge  0.250  0.250  0.750
Ge  0.250  0.750  0.250
Ge  0.750  0.250  0.250
Ge  0.750  0.750  0.750
Pb  0.000  0.000  0.500
Pb  0.000  0.500  0.000
Pb  0.500  0.000  0.000
Pb  0.500  0.500  0.500



No. 2
Compound: ZnGePb2
Source: the Open Quantum Materials Database
Functional: GGA-PBE
Structure: relaxed

## Properties
V: 25.48 A^3/atom
SG: F-43m, No. 216
Total DFT energy (no corrections): -3.058 eV per atom

a = 7.415 Å, b = 7.415 Å, c = 7.415 Å
α = 90.00°, β = 90.00°, γ = 90.00°
Element x y z (fractional)
Zn  0.000  0.000  0.000
Zn  0.000  0.500  0.500
Zn  0.500  0.000  0.500
Zn  0.500  0.500  0.000
Ge  0.250  0.250  0.750
Ge  0.250  0.750  0.250
Ge  0.750  0.250  0.250
Ge  0.750  0.750  0.750
Pb  0.000  0.000  0.500
Pb  0.000  0.500  0.000
Pb  0.250  0.250  0.250
Pb  0.250  0.750  0.750
Pb  0.500  0.000  0.000
Pb  0.500  0.500  0.500
Pb  0.750  0.250  0.750
Pb  0.750  0.750  0.250



No. 3
Compound: ZnGe2Pb
Source: the Open Quantum Materials Database
Functional: GGA-PBE
Structure: relaxed

## Properties
V: 22.03 A^3/atom
SG: F-43m, No. 216
Total DFT energy (no corrections): -3.253 eV per atom

a = 7.063 Å, b = 7.063 Å, c = 7.063 Å
α = 90.00°, β = 90.00°, γ = 90.00°
Element x y z (fractional)
Zn  0.000  0.000  0.000
Zn  0.000  0.500  0.500
Zn  0.500  0.000  0.500
Zn  0.500  0.500  0.000
Ge  0.000  0.000  0.500
Ge  0.000  0.500  0.000
Ge  0.250  0.250  0.250
Ge  0.250  0.750  0.750
Ge  0.500  0.000  0.000
Ge  0.500  0.500  0.500
Ge  0.750  0.250  0.750
Ge  0.750  0.750  0.250
Pb  0.250  0.250  0.750
Pb  0.250  0.750  0.250
Pb  0.750  0.250  0.250
Pb  0.750  0.750  0.750



No. 4
Compound: ZnGePb
Source: the Open Quantum Materials Database
Functional: GGA-PBE
Structure: relaxed

## Properties
V: 26.71 A^3/atom
SG: F-43m, No. 216
Total DFT energy (no corrections): -2.812 eV per atom

a = 6.843 Å, b = 6.843 Å, c = 6.843 Å
α = 90.00°, β = 90.00°, γ = 90.00°
Element x y z (fractional)
Zn  0.000  0.000  0.000
Zn  0.000  0.500  0.500
Zn  0.500  0.000  0.500
Zn  0.500  0.500  0.000
Ge  0.000  0.000  0.500
Ge  0.000  0.500  0.000
Ge  0.500  0.000  0.000
Ge  0.500  0.500  0.500
Pb  0.250  0.250  0.750
Pb  0.250  0.750  0.250
Pb  0.750  0.250  0.250
Pb  0.750  0.750  0.750



No. 5
Compound: ZrGePb
Source: the Open Quantum Materials Database
Functional: GGA-PBE
Structure: relaxed

## Properties
Magnetic moment: 0.081 μB/f.u.
V: 26.72 A^3/atom
SG: F-43m, No. 216
Total DFT energy (no corrections): -5.366 eV per atom

a = 6.844 Å, b = 6.844 Å, c = 6.844 Å
α = 90.00°, β = 90.00°, γ = 90.00°
Element x y z (fractional)
Zr  0.000  0.000  0.000
Zr  0.000  0.500  0.500
Zr  0.500  0.000  0.500
Zr  0.500  0.500  0.000
Ge  0.250  0.250  0.750
Ge  0.250  0.750  0.250
Ge  0.750  0.250  0.250
Ge  0.750  0.750  0.750
Pb  0.250  0.250  0.250
Pb  0.250  0.750  0.750
Pb  0.750  0.250  0.750
Pb  0.750  0.750  0.250



No. 6
Compound: ZrGePb
Source: the Open Quantum Materials Database
Functional: GGA-PBE
Structure: relaxed

## Properties
Magnetic moment: 0.005 μB/f.u.
V: 25.97 A^3/atom
SG: F-43m, No. 216
Total DFT energy (no corrections): -5.397 eV per atom

a = 6.780 Å, b = 6.780 Å, c = 6.780 Å
α = 90.00°, β = 90.00°, γ = 90.00°
Element x y z (fractional)
Zr  0.000  0.000  0.000
Zr  0.000  0.500  0.500
Zr  0.500  0.000  0.500
Zr  0.500  0.500  0.000
Ge  0.250  0.250  0.750
Ge  0.250  0.750  0.250
Ge  0.750  0.250  0.250
Ge  0.750  0.750  0.750
Pb  0.000  0.000  0.500
Pb  0.000  0.500  0.000
Pb  0.500  0.000  0.000
Pb  0.500  0.500  0.500



No. 7
Compound: ZrGe2Pb
Source: the Open Quantum Materials Database
Functional: GGA-PBE
Structure: relaxed

## Properties
Magnetic moment: 0.006 μB/f.u.
V: 22.79 A^3/atom
SG: F-43m, No. 216
Total DFT energy (no corrections): -5.097 eV per atom

a = 7.144 Å, b = 7.144 Å, c = 7.144 Å
α = 90.00°, β = 90.00°, γ = 90.00°
Element x y z (fractional)
Zr  0.000  0.000  0.000
Zr  0.000  0.500  0.500
Zr  0.500  0.000  0.500
Zr  0.500  0.500  0.000
Ge  0.000  0.000  0.500
Ge  0.000  0.500  0.000
Ge  0.250  0.250  0.250
Ge  0.250  0.750  0.750
Ge  0.500  0.000  0.000
Ge  0.500  0.500  0.500
Ge  0.750  0.250  0.750
Ge  0.750  0.750  0.250
Pb  0.250  0.250  0.750
Pb  0.250  0.750  0.250
Pb  0.750  0.250  0.250
Pb  0.750  0.750  0.750



No. 8
Compound: GePd9
Source: the Open Quantum Materials Database
Functional: GGA-PBE
Structure: relaxed

## Properties
V: 22.91 A^3/atom
SG: Pmmn, No. 59
Total DFT energy (no corrections): -5.170 eV per atom

a = 2.813 Å, b = 3.937 Å, c = 41.382 Å
α = 90.00°, β = 90.00°, γ = 90.00°
Element x y z (fractional)
Ge  0.250  0.250  0.186
Ge  0.750  0.750  0.814
Pd  0.250  0.250  0.246
Pd  0.250  0.250  0.314
Pd  0.250  0.250  0.382
Pd  0.250  0.250  0.449
Pd  0.250  0.250  0.517
Pd  0.250  0.250  0.584
Pd  0.250  0.250  0.652
Pd  0.250  0.250  0.720
Pd  0.250  0.250  0.791
Pd  0.750  0.750  0.209
Pd  0.750  0.750  0.280
Pd  0.750  0.750  0.348
Pd  0.750  0.750  0.416
Pd  0.750  0.750  0.483
Pd  0.750  0.750  0.551
Pd  0.750  0.750  0.618
Pd  0.750  0.750  0.686
Pd  0.750  0.750  0.754